Computed, not measured: a geometry-optimized SrNbB3 structure at the GGA-PBE level of DFT.

Properties
**Relative energy among the computed polymorphs**: 0 meV per atom
**SG**: No. 221
**Final energy**: -28.8 eV per formula unit
**Total moment**: 0.0 Bohr magnetons per cell

abc: 4.3919 4.3919 4.3919
angles: 90.00 90.00 90.00
With the nearest neighbours (Å) after each atom.
Atoms (fractional coordinates):
Sr1 0.0000 0.0000 0.0000  12 B 3.11
Nb1 0.5000 0.5000 0.5000  6 B 2.20
B1 0.0000 0.5000 0.5000  2 Nb 2.20
B2 0.5000 0.0000 0.5000  2 Nb 2.20
B3 0.5000 0.5000 0.0000  2 Nb 2.20